(1)
Below is a relaxed structure of Tc2AsSe4, with properties calculated at the PBE-GGA level.

Output
- ρ: 6.3 g/cm³
- E_tot: -314.44 eV for the cell shown

a = 10.7524 Å, b = 10.7524 Å, c = 10.7524 Å
α = 90.00°, β = 90.00°, γ = 90.00°
With the nearest neighbours (Å) after each atom.
Space group Fd-3m (No. 227, origin choice 2)
Unique sites:
Tc  0.0000  0.0000  0.0000 x16  6 Se 2.53
As  0.1250  0.1250  0.6250 x8  4 Se 2.62
Se  0.0159  0.0159  0.2341 x32  3 Tc 2.53, 1 As 2.62

=====

(2)
Below is a relaxed structure of Th2AsSe, with properties calculated at the PBE-GGA level.

Output
- ρ: 9.6 g/cm³
- E_tot: -57.88 eV for the cell shown

a = 7.3171 Å, b = 4.2586 Å, c = 7.3016 Å
α = 90.00°, β = 109.85°, γ = 90.00°
With the nearest neighbours (Å) after each atom.
Space group C2/m (No. 12)
Unique sites:
Th  0.2482  0.0000  0.2447 x4  3 As 2.97, 3 Se 3.01
As  0.0000  0.5000  0.0000 x2  6 Th 2.97
Se  0.0000  0.0000  0.5000 x2  6 Th 3.01

=====

(3)
Below is a relaxed structure of ThAsSe, with properties calculated at the PBE-GGA level.

Output
- ρ: 8.8 g/cm³
- E_tot: -79.46 eV for the cell shown

a = 4.1542 Å, b = 4.1542 Å, c = 16.9296 Å
α = 90.00°, β = 90.00°, γ = 90.00°
With the nearest neighbours (Å) after each atom.
Space group I4/mmm (No. 139)
Unique sites:
Th  0.0000  0.0000  0.1305 x4  4 As 3.03, 5 Se 3.08-3.11
As  0.0000  0.5000  0.0000 x4  4 As 2.94, 4 Th 3.03
Se  0.0000  0.0000  0.3139 x4  5 Th 3.08-3.11

=====

(4)
Below is a relaxed structure of ZrTlAsSe3, with properties calculated at the PBE-GGA level.

Output
- ρ: 6.7 g/cm³
- E_tot: -115.30 eV for the cell shown

a = 3.8151 Å, b = 15.8450 Å, c = 9.9574 Å
α = 90.00°, β = 90.00°, γ = 90.00°
With the nearest neighbours (Å) after each atom.
Space group Cmcm (No. 63)
Unique sites:
Zr  0.0000  0.0000  0.0000 x4  6 Se 2.79-2.91
Tl  0.0000  0.2472  0.2500 x4  8 Se 3.14-3.48
As  0.0000  0.4597  0.7500 x4  4 Se 2.60-2.87
Se  0.0000  0.0953  0.7500 x4  2 As 2.87, 2 Zr 2.91, 2 Tl 3.14
Se  0.0000  0.3727  0.5285 x8  1 As 2.60, 2 Zr 2.79

=====

(5)
Below is a relaxed structure of Tm4AsSe3, with properties calculated at the PBE-GGA level.

Output
- ρ: 8.9 g/cm³
- E_tot: -46.27 eV for the cell shown

a = 5.6839 Å, b = 5.6839 Å, c = 5.6839 Å
α = 90.00°, β = 90.00°, γ = 90.00°
With the nearest neighbours (Å) after each atom.
Space group Pm-3m (No. 221)
Unique sites:
Tm  0.0000  0.0000  0.0000 x1  6 Se 2.84
Tm  0.0000  0.5000  0.5000 x3  2 As 2.84, 4 Se 2.84
As  0.5000  0.5000  0.5000 x1  6 Tm 2.84
Se  0.0000  0.0000  0.5000 x3  6 Tm 2.84

=====

(6)
Below is a relaxed structure of Tm3As2Se, with properties calculated at the PBE-GGA level.

Output
- ρ: 8.7 g/cm³
- E_tot: -35.91 eV for the cell shown

a = 4.0480 Å, b = 4.0480 Å, c = 9.9151 Å
α = 90.00°, β = 90.00°, γ = 120.00°
With the nearest neighbours (Å) after each atom.
Space group P-3m1 (No. 164)
Unique sites:
Tm  0.0000  0.0000  0.0000 x1  6 As 2.86
Tm  0.3333  0.6667  0.3219 x2  3 As 2.80, 3 Se 2.93
As  0.3333  0.6667  0.8331 x2  6 Tm 2.80-2.86
Se  0.0000  0.0000  0.5000 x1  6 Tm 2.93

=====

(7)
Below is a relaxed structure of Tm2AsSe, with properties calculated at the PBE-GGA level.

Output
- ρ: 8.8 g/cm³
- E_tot: -47.35 eV for the cell shown

a = 4.0396 Å, b = 5.6938 Å, c = 8.0962 Å
α = 90.00°, β = 90.00°, γ = 90.00°
With the nearest neighbours (Å) after each atom.
Space group Pmmn (No. 59, origin choice 2)
Unique sites:
Tm  0.2500  0.2500  0.1158 x2  4 As 2.82-2.85, 2 Se 2.93
Tm  0.2500  0.2500  0.6373 x2  2 As 2.78, 4 Se 2.85-2.91
As  0.2500  0.7500  0.1264 x2  6 Tm 2.78-2.85
Se  0.2500  0.7500  0.6216 x2  6 Tm 2.85-2.93

=====

(8)
Below is a relaxed structure of UAsSe, with properties calculated at the PBE-GGA level.

Output
- ρ: 9.8 g/cm³
- E_tot: -89.19 eV for the cell shown

a = 3.9954 Å, b = 3.9954 Å, c = 16.5794 Å
α = 90.00°, β = 90.00°, γ = 90.00°
With the nearest neighbours (Å) after each atom.
Space group I4/mmm (No. 139)
Unique sites:
U  0.0000  0.0000  0.1329 x4  5 Se 2.95-3.03, 4 As 2.97
As  0.0000  0.5000  0.0000 x4  4 As 2.83, 4 U 2.97
Se  0.0000  0.0000  0.3154 x4  5 U 2.95-3.03

=====

(9)
Below is a relaxed structure of As3WSe, with properties calculated at the PBE-GGA level.

Output
- ρ: 7.9 g/cm³
- E_tot: -118.49 eV for the cell shown

a = 14.2056 Å, b = 3.4552 Å, c = 10.2431 Å
α = 90.00°, β = 125.51°, γ = 90.00°
With the nearest neighbours (Å) after each atom.
Space group C2/m (No. 12)
Unique sites:
As  0.1025  0.0000  0.3091 x4  3 W 2.49-2.57, 1 Se 2.79
As  0.1038  0.5000  0.6222 x4  1 As 2.53, 2 W 2.64
As  0.1184  0.5000  0.0797 x4  2 Se 2.53, 1 W 2.61, 1 As 2.76
W  0.2381  0.0000  0.6076 x4  6 As 2.49-2.64
Se  0.1369  0.0000  0.9151 x4  3 As 2.53-2.79

=====

(10)
Below is a relaxed structure of SmSiAs, with properties calculated at the PBE-GGA level.

Output
- ρ: 5.3 g/cm³
- E_tot: -59.86 eV for the cell shown

a = 6.8244 Å, b = 6.8244 Å, c = 6.8244 Å
α = 90.00°, β = 90.00°, γ = 90.00°
With the nearest neighbours (Å) after each atom.
Space group F-43m (No. 216)
Unique sites:
Sm  0.0000  0.0000  0.0000 x4  4 As 2.96, 4 Si 2.96
Si  0.2500  0.2500  0.2500 x4  4 Sm 2.96
As  0.2500  0.2500  0.7500 x4  4 Sm 2.96

=====

(11)
Below is a relaxed structure of SmSiAs, with properties calculated at the PBE-GGA level.

Output
- ρ: 5.6 g/cm³
- E_tot: -61.32 eV for the cell shown

a = 6.6815 Å, b = 6.6815 Å, c = 6.6815 Å
α = 90.00°, β = 90.00°, γ = 90.00°
With the nearest neighbours (Å) after each atom.
Space group F-43m (No. 216)
Unique sites:
Sm  0.0000  0.0000  0.0000 x4  4 Si 2.89
Si  0.2500  0.2500  0.7500 x4  4 As 2.89, 4 Sm 2.89
As  0.0000  0.0000  0.5000 x4  4 Si 2.89

=====

(12)
Below is a relaxed structure of Tm2SiSnAs4, with properties calculated at the PBE-GGA level.

Output
- ρ: 5.4 g/cm³
- E_tot: -79.67 eV for the cell shown

a = 6.2242 Å, b = 6.2242 Å, c = 12.4611 Å
α = 90.00°, β = 90.00°, γ = 90.00°
With the nearest neighbours (Å) after each atom.
Space group I-4 (No. 82)
Unique sites:
Tm  0.0000  0.0000  0.0000 x2  4 As 2.80
Tm  0.0000  0.5000  0.2500 x2  4 As 2.76
Si  0.0000  0.0000  0.5000 x2  4 As 2.42
Sn  0.0000  0.5000  0.7500 x2  4 As 2.85
As  0.2178  0.7695  0.3880 x8  1 Si 2.42